1.
VASP calculation (PBE-GGA) on crystalline SrCdCo2 at its relaxed geometry.

The uncorrected energy is -4.07 eV/atom. The magnetic moment is 2.78 μB per cell. As for the space group: No. 160. For the formation energy from the elements, the calculation gives 0.137 eV/atom.

Unit cell a=6.336 b=6.336 c=6.336 alpha=38.31 beta=38.31 gamma=38.31
Positions (direct):
Sr: 0.000 0.000 0.000
Cd: 0.806 0.806 0.806
Co: 0.208 0.208 0.208
Co: 0.541 0.541 0.541

2.
VASP calculation (PBE-GGA) on crystalline SrSi3Pt at its relaxed geometry.

Its uncorrected formation energy is 0.16 eV/atom. The uncorrected energy is -4.64 eV/atom. The magnetic moment is 0.00 μB per cell. As for the space group: No. 221.

Unit cell a=4.879 b=4.879 c=4.879 alpha=90.00 beta=90.00 gamma=90.00
Positions (direct):
Sr: 0.000 0.000 0.000
Si: 0.000 0.500 0.500
Si: 0.500 0.000 0.500
Si: 0.500 0.500 0.000
Pt: 0.500 0.500 0.500